Pm8ScIn6 | PBE | relaxed

Lattice parameters (Å, degrees): 8.436 8.436 8.436 65.28 65.28 65.28
Element x y z (fractional)
Pm 0.045 0.723 0.386
Pm 0.164 0.164 0.164
Pm 0.277 0.614 0.955
Pm 0.386 0.045 0.723
Pm 0.614 0.955 0.277
Pm 0.723 0.386 0.045
Pm 0.836 0.836 0.836
Pm 0.955 0.277 0.614
Sc 0.500 0.500 0.500
In 0.128 0.447 0.764
In 0.236 0.872 0.553
In 0.447 0.764 0.128
In 0.553 0.236 0.872
In 0.764 0.128 0.447
In 0.872 0.553 0.236

Values from the calculation:
For the magnetization, the calculation gives 0.0 μB/cell. The value obtained for the total energy is -4.282 eV/atom. The value obtained for the formation energy is -0.2304 eV per atom. As for the volume: 31.553 Å³ per atom.